Here is a relaxed structure of Sm2ScMoO6 from Alexandria via LeMat-Bulk. Energies are from PBE+U.

## Properties
density: 6.78 g/cm³
N(E_F): 0.00 states/eV/f.u.
M_tot: 6.000 Bohr magnetons per cell
crystal system: monoclinic
E_tot: -8.303 eV/atom
space group: P2_1/c, No. 14
V: 13.16 Å³ per atom

a = 5.5674 Å, b = 5.8653 Å, c = 9.7801 Å
α = 90.00°, β = 124.47°, γ = 90.00°
Fractional coordinates of all 20 atoms:
Sm 0.2302 0.0618 0.2491
Sm 0.2302 0.4382 0.7491
Sm 0.7698 0.5618 0.2509
Sm 0.7698 0.9382 0.7509
Sc 0.5000 0.0000 0.0000
Sc 0.5000 0.5000 0.5000
Mo 0.0000 0.0000 0.5000
Mo 0.0000 0.5000 0.0000
O 0.1338 0.1923 0.9388
O 0.1338 0.3077 0.4388
O 0.2448 0.7002 0.9342
O 0.2448 0.7998 0.4342
O 0.3755 0.0522 0.7525
O 0.3755 0.4478 0.2525
O 0.6245 0.5522 0.7475
O 0.6245 0.9478 0.2475
O 0.7552 0.2002 0.5658
O 0.7552 0.2998 0.0658
O 0.8662 0.6923 0.5612
O 0.8662 0.8077 0.0612